Density functional theory data (PBE) for a geometry-optimized TlPd2Pb4 structure.

The density of states at the Fermi level is 12.24 states/eV/cell. For the calculated formation energy, the calculation gives -0.111 eV per atom.

a b c (Å): 4.7829 4.7829 28.7595
angles (deg): 90.00 90.00 120.00
Space group R-3m (No. 166, hexagonal axes)
Asymmetric unit:
Tl1 0.0000 0.0000 0.0000 (multiplicity 3)
Pd1 0.0000 0.0000 0.1000 (multiplicity 6)
Pb1 0.0000 0.0000 0.2015 (multiplicity 6)
Pb2 0.0000 0.0000 0.3947 (multiplicity 6)

Density functional theory data (PBE) for a geometry-optimized ScOs2Br structure.

The density of states at the Fermi level is 8.85 states/eV/cell. As for the energy relative to the elements, uncorrected: 635 meV/atom. Its energy relative to the lowest polymorph listed for this composition is 2.70 eV per formula unit.

a b c (Å): 2.9946 2.9946 26.3059
angles (deg): 90.00 90.00 120.00
Space group R-3m (No. 166, hexagonal axes)
Asymmetric unit:
Sc1 0.0000 0.0000 0.0000 (multiplicity 3)
Os1 0.0000 0.0000 0.2505 (multiplicity 6)
Br1 0.0000 0.0000 0.5000 (multiplicity 3)

Density functional theory data (PBE) for a geometry-optimized Tb3GaCu4 structure.

The density of states at the Fermi level is 12.49 states/eV/cell. For the calculated formation energy, the calculation gives -0.104 eV per atom.

a b c (Å): 3.726 5.804 15.667
angles (deg): 90.00 90.00 90.00
Space group Immm (No. 71)
Asymmetric unit:
Tb1 0.000 0.000 0.000 (multiplicity 2)
Tb2 0.000 0.500 0.210 (multiplicity 4)
Ga1 0.000 0.000 0.500 (multiplicity 2)
Cu1 0.000 0.288 0.379 (multiplicity 8)

Density functional theory data (PBE) for a geometry-optimized Ac4In3Pt structure.

The density of states at the Fermi level is 6.40 states/eV/cell. For the calculated formation energy, the calculation gives -0.571 eV per atom.

a b c (Å): 3.878 3.878 17.312
angles (deg): 90.00 90.00 90.00
Space group P4/mmm (No. 123)
Asymmetric unit:
Ac1 0.000 0.000 0.104 (multiplicity 2)
Ac2 0.000 0.000 0.367 (multiplicity 2)
In1 0.500 0.500 0.238 (multiplicity 2)
In2 0.500 0.500 0.500 (multiplicity 1)
Pt1 0.500 0.500 0.000 (multiplicity 1)

Density functional theory data (PBE) for a geometry-optimized NbWN3 structure.

The density of states at the Fermi level is 1.64 states/eV/cell. As for the energy relative to the elements, uncorrected: 1105 meV/atom.

a b c (Å): 4.000 4.000 4.000
angles (deg): 90.00 90.00 90.00
Space group Pm-3m (No. 221)
Asymmetric unit:
Nb1 0.000 0.000 0.000 (multiplicity 1)
W1 0.500 0.500 0.500 (multiplicity 1)
N1 0.000 0.000 0.500 (multiplicity 3)

Density functional theory data (PBE) for a geometry-optimized Hf2ZrCrC4 structure.

The density of states at the Fermi level is 10.78 states/eV/cell. For the calculated formation energy, the calculation gives -0.404 eV per atom.

a b c (Å): 3.221 11.067 11.220
angles (deg): 90.00 90.00 90.00
Space group Cmcm (No. 63)
Asymmetric unit:
Hf1 0.000 0.132 0.042 (multiplicity 8)
Zr1 0.000 0.388 0.250 (multiplicity 4)
Cr1 0.000 0.348 0.750 (multiplicity 4)
C1 0.000 0.051 0.250 (multiplicity 4)
C2 0.000 0.237 0.627 (multiplicity 8)
C3 0.000 0.500 0.000 (multiplicity 4)

Density functional theory data (PBE) for a geometry-optimized Tb2DyHo2Tm structure.

The density of states at the Fermi level is 18.06 states/eV/cell. For the calculated formation energy, the calculation gives 0.278 eV per atom.

a b c (Å): 6.505 17.604 3.346
angles (deg): 90.00 90.00 90.00
Space group Pnnm (No. 58)
Asymmetric unit:
Tb1 0.233 0.184 0.000 (multiplicity 4)
Dy1 0.000 0.500 0.000 (multiplicity 2)
Ho1 0.231 0.353 0.500 (multiplicity 4)
Tm1 0.000 0.000 0.000 (multiplicity 2)

Density functional theory data (PBE) for a geometry-optimized CdIr2RuAu structure.

The density of states at the Fermi level is 6.30 states/eV/cell. For the calculated formation energy, the calculation gives 2.333 eV per atom.

a b c (Å): 4.869 4.869 4.866
angles (deg): 90.00 90.00 90.00
Space group P4/mmm (No. 123)
Asymmetric unit:
Cd1 0.000 0.000 0.000 (multiplicity 1)
Ir1 0.000 0.500 0.000 (multiplicity 2)
Ru1 0.000 0.000 0.500 (multiplicity 1)
Au1 0.500 0.500 0.500 (multiplicity 1)

Density functional theory data (PBE) for a geometry-optimized TlHO structure.

The density of states at the Fermi level is 0.00 states/eV/cell. Its energy relative to the lowest polymorph listed for this composition is 0.17 eV per formula unit.

a b c (Å): 12.930 3.663 5.151
angles (deg): 90.00 113.42 90.00
Space group Cm (No. 8)
Asymmetric unit:
Tl1 0.000 0.000 0.000 (multiplicity 2)
Tl2 0.205 0.500 0.705 (multiplicity 2)
H1 0.352 0.500 0.346 (multiplicity 2)
H2 0.353 0.000 0.488 (multiplicity 2)
O1 0.352 0.500 0.158 (multiplicity 2)
O2 0.353 0.000 0.679 (multiplicity 2)

Density functional theory data (PBE) for a geometry-optimized Pr2NdDyY6 structure.

The density of states at the Fermi level is 60.14 states/eV/cell. For the calculated formation energy, the calculation gives 0.112 eV per atom.

a b c (Å): 9.144 15.103 9.872
angles (deg): 90.00 99.81 90.00
Space group C2/c (No. 15)
Asymmetric unit:
Pr1 0.242 0.049 0.044 (multiplicity 8)
Nd1 0.000 0.017 0.750 (multiplicity 4)
Dy1 0.000 0.406 0.250 (multiplicity 4)
Y1 0.070 0.190 0.443 (multiplicity 8)
Y2 0.096 0.395 0.617 (multiplicity 8)
Y3 0.204 0.223 0.814 (multiplicity 8)

Density functional theory data (PBE) for a geometry-optimized Cr5Sn3S12 structure.

The density of states at the Fermi level is 57.18 states/eV/cell. As for the energy relative to the elements, uncorrected: -459 meV/atom.

a b c (Å): 14.970 14.970 14.970
angles (deg): 90.00 90.00 90.00
Space group Ia-3d (No. 230)
Asymmetric unit:
Cr1 0.000 0.000 0.000 (multiplicity 16)
Cr2 0.000 0.250 0.375 (multiplicity 24)
Sn1 0.000 0.250 0.125 (multiplicity 24)
S1 0.030 0.050 0.650 (multiplicity 96)

Density functional theory data (PBE) for a geometry-optimized RbCeInSe4 structure.

The density of states at the Fermi level is 2.22 states/eV/cell. As for the energy relative to the elements, uncorrected: -1144 meV/atom.

a b c (Å): 7.035 7.128 9.712
angles (deg): 90.00 109.07 90.00
Space group P2_1/m (No. 11)
Asymmetric unit:
Rb1 0.249 0.250 0.050 (multiplicity 2)
Ce1 0.223 0.250 0.553 (multiplicity 2)
In1 0.235 0.750 0.336 (multiplicity 2)
Se1 0.031 0.519 0.699 (multiplicity 4)
Se2 0.450 0.750 0.169 (multiplicity 2)
Se3 0.488 0.750 0.597 (multiplicity 2)